Entry from Alexandria via LeMat-Bulk: crystalline BaCa3I at its relaxed geometry (PBE).

For the raw formation energy, the calculation gives 0.68 eV/atom.

The space group is Pm-3m (No. 221) and the conventional cell measures 7.243, 7.243 and 7.243 Å, with angles of 90.00, 90.00 and 90.00 degrees. Symmetry generates all atoms from Ba at (0.000, 0.000, 0.000), Ca at (0.000, 0.000, 0.500) and I at (0.500, 0.500, 0.500).